(1)
Density functional theory data (PBE) for an optimized crystal structure of Li3TbSb2.

* E: -0.2811 Ry per atom
* formation energy from raw total energies: -722 meV per atom
* V: 21.9 A^3/atom
* crystal system: monoclinic
* D(E_F): 0.44 states/eV/f.u.

a = 17.3914 Å, b = 4.3112 Å, c = 10.7388 Å
α = 90.00°, β = 101.13°, γ = 90.00°
Space group C2/m (No. 12)
Unique sites:
1 Li 0.0000 0.0000 0.0000
2 Li 0.0480 0.5000 0.8399
3 Li 0.1200 0.0000 0.7305
4 Li 0.1828 0.0000 0.4884
5 Li 0.2080 0.5000 0.9060
6 Tb 0.0000 0.5000 0.5000
7 Tb 0.1688 0.5000 0.2214
8 Sb 0.0464 0.0000 0.3089
9 Sb 0.1433 0.0000 0.9980
10 Sb 0.1928 0.5000 0.6475


(2)
Density functional theory data (PBE) for an optimized crystal structure of FeNi2Se.

* E: -0.4240 Ry per atom
* formation energy from raw total energies: 109 meV per atom
* V: 13.0 A^3/atom
* crystal system: monoclinic
* D(E_F): 2.66 states/eV/f.u.

a = 7.8852 Å, b = 3.6244 Å, c = 4.2022 Å
α = 90.00°, β = 119.73°, γ = 90.00°
Space group Cm (No. 8)
Unique sites:
1 Fe 0.0000 0.0000 0.0000
2 Ni 0.2152 0.0000 0.7342
3 Ni 0.4374 0.0000 0.4237
4 Se 0.2282 0.5000 0.3707


(3)
Density functional theory data (PBE) for an optimized crystal structure of Sr2Mo.

* E: -0.2635 Ry per atom
* energy relative to the lowest polymorph listed for this composition: 660.9 meV/atom
* formation enthalpy at 0 K: 3.44 eV per formula unit
* V: 37.9 A^3/atom
* crystal system: orthorhombic
* D(E_F): 3.64 states/eV/f.u.

a = 7.7985 Å, b = 7.9640 Å, c = 3.6650 Å
α = 90.00°, β = 90.00°, γ = 90.00°
Space group Pnnm (No. 58)
Unique sites:
1 Sr 0.2126 0.1698 0.0000
2 Mo 0.0000 0.5000 0.0000


(4)
Density functional theory data (PBE) for an optimized crystal structure of AgPt2.

* E: -0.3629 Ry per atom
* energy relative to the lowest polymorph listed for this composition: 48.3 meV/atom
* formation enthalpy at 0 K: 0.12 eV per formula unit
* V: 16.2 A^3/atom
* crystal system: monoclinic
* D(E_F): 3.58 states/eV/f.u.

a = 6.3300 Å, b = 4.0235 Å, c = 8.0378 Å
α = 90.00°, β = 107.93°, γ = 90.00°
Space group Pm (No. 6)
Unique sites:
1 Ag 0.0000 0.0000 0.0000
2 Ag 0.0055 0.5000 0.7529
3 Ag 0.3358 0.5000 0.5878
4 Ag 0.6710 0.5000 0.9186
5 Pt 0.0012 0.0000 0.5013
6 Pt 0.0039 0.5000 0.2555
7 Pt 0.3313 0.0000 0.3306
8 Pt 0.3413 0.5000 0.0904
9 Pt 0.3456 0.0000 0.8433
10 Pt 0.6649 0.0000 0.6586
11 Pt 0.6700 0.5000 0.4180
12 Pt 0.6721 0.0000 0.1774


(5)
Density functional theory data (PBE) for an optimized crystal structure of Ca2YBr.

* E: -0.2518 Ry per atom
* formation energy from raw total energies: -391 meV per atom
* energy relative to the lowest polymorph listed for this composition: 249.8 meV/atom
* V: 33.8 A^3/atom
* crystal system: orthorhombic
* D(E_F): 4.63 states/eV/f.u.

a = 3.6495 Å, b = 6.4257 Å, c = 11.5147 Å
α = 90.00°, β = 90.00°, γ = 90.00°
Space group Immm (No. 71)
Unique sites:
1 Ca 0.0000 0.0000 0.2126
2 Y 0.0000 0.5000 0.0000
3 Br 0.0000 0.5000 0.5000


(6)
Density functional theory data (PBE) for an optimized crystal structure of DyCdCu2.

* E: -0.2590 Ry per atom
* formation enthalpy at 0 K: -0.38 eV per formula unit
* V: 18.8 A^3/atom
* crystal system: tetragonal
* D(E_F): 2.26 states/eV/f.u.

a = 3.3790 Å, b = 3.3790 Å, c = 6.5718 Å
α = 90.00°, β = 90.00°, γ = 90.00°
Space group P4/mmm (No. 123)
Unique sites:
1 Dy 0.0000 0.0000 0.0000
2 Cd 0.0000 0.0000 0.5000
3 Cu 0.5000 0.5000 0.2672


(7)
Density functional theory data (PBE) for an optimized crystal structure of NaGa3As.

* E: -0.1649 Ry per atom
* energy relative to the lowest polymorph listed for this composition: 505.8 meV/atom
* formation enthalpy at 0 K: 3.83 eV per formula unit
* V: 26.7 A^3/atom
* crystal system: cubic
* D(E_F): 3.81 states/eV/f.u.

a = 5.1110 Å, b = 5.1110 Å, c = 5.1110 Å
α = 90.00°, β = 90.00°, γ = 90.00°
Space group Pm-3m (No. 221)
Unique sites:
1 Na 0.0000 0.0000 0.0000
2 Ga 0.0000 0.0000 0.5000
3 As 0.5000 0.5000 0.5000


(8)
Density functional theory data (PBE) for an optimized crystal structure of KMnMo2.

* E: -0.5299 Ry per atom
* energy relative to the lowest polymorph listed for this composition: 19.2 meV/atom
* formation enthalpy at 0 K: 3.09 eV per formula unit
* V: 19.3 A^3/atom
* crystal system: orthorhombic
* D(E_F): 4.24 states/eV/f.u.

a = 3.2015 Å, b = 4.6726 Å, c = 10.3235 Å
α = 90.00°, β = 90.00°, γ = 90.00°
Space group Cmm2 (No. 35)
Unique sites:
1 K 0.0000 0.0000 0.0000
2 Mn 0.0000 0.5000 0.7016
3 Mo 0.0000 0.0000 0.5048
4 Mo 0.0000 0.5000 0.3050


(9)
Density functional theory data (PBE) for an optimized crystal structure of SbPBrO2.

* E: -0.2673 Ry per atom
* formation energy from raw total energies: 588 meV per atom
* energy relative to the lowest polymorph listed for this composition: 901.3 meV/atom
* V: 16.5 A^3/atom
* crystal system: tetragonal
* D(E_F): 0.90 states/eV/f.u.

a = 4.0686 Å, b = 4.0686 Å, c = 4.9849 Å
α = 90.00°, β = 90.00°, γ = 90.00°
Space group P4/mmm (No. 123)
Unique sites:
1 Sb 0.0000 0.0000 0.0000
2 P 0.5000 0.5000 0.0000
3 Br 0.5000 0.5000 0.5000
4 O 0.0000 0.5000 0.5000


(10)
Density functional theory data (PBE) for an optimized crystal structure of ZnRe2SnCl.

* E: -0.3272 Ry per atom
* formation energy from raw total energies: 1952 meV per atom
* V: 24.4 A^3/atom
* crystal system: tetragonal
* D(E_F): 4.91 states/eV/f.u.

a = 4.8094 Å, b = 4.8094 Å, c = 5.2801 Å
α = 90.00°, β = 90.00°, γ = 90.00°
Space group P4/mmm (No. 123)
Unique sites:
1 Zn 0.0000 0.0000 0.0000
2 Re 0.0000 0.5000 0.0000
3 Sn 0.0000 0.0000 0.5000
4 Cl 0.5000 0.5000 0.5000


(11)
Density functional theory data (PBE) for an optimized crystal structure of TcTeCl2.

* E: -0.3013 Ry per atom
* formation energy from raw total energies: 201 meV per atom
* energy relative to the lowest polymorph listed for this composition: 471.8 meV/atom
* V: 26.0 A^3/atom
* crystal system: tetragonal
* D(E_F): 4.39 states/eV/f.u.

a = 3.0700 Å, b = 3.0700 Å, c = 11.0410 Å
α = 90.00°, β = 90.00°, γ = 90.00°
Space group P4/mmm (No. 123)
Unique sites:
1 Tc 0.0000 0.0000 0.0000
2 Te 0.0000 0.0000 0.5000
3 Cl 0.5000 0.5000 0.1381


(12)
Density functional theory data (PBE) for an optimized crystal structure of LaPm4Tm3.

* E: -0.3410 Ry per atom
* energy relative to the lowest polymorph listed for this composition: 0.0 meV/atom
* formation enthalpy at 0 K: 0.23 eV per formula unit
* V: 33.5 A^3/atom
* crystal system: orthorhombic
* D(E_F): 13.78 states/eV/f.u.

a = 11.5475 Å, b = 7.3356 Å, c = 6.3189 Å
α = 90.00°, β = 90.00°, γ = 90.00°
Space group Pmn2_1 (No. 31)
Unique sites:
1 La 0.0000 0.1262 0.0000
2 Pm 0.0000 0.3725 0.5081
3 Pm 0.0000 0.6299 0.9969
4 Pm 0.2451 0.6258 0.3382
5 Tm 0.0000 0.8768 0.5023
6 Tm 0.2494 0.1212 0.3357


- Look up the D(E_F) of the tenth one.
  4.91 states/eV/f.u.